A relaxed structure of HgW. Source: Alexandria, functional PBE-GGA.

Geometry as extended XYZ:
```
4
Lattice="-2.641 -0.861 -0.249 2.637 -2.036 -5.305 1.052 -3.797 1.980" Properties=species:S:1:pos:R:3 pbc="T T T"
W 0.261 -4.763 -1.909
W 0.787 -1.931 -1.667
Hg -0.348 -3.623 0.601
Hg 1.396 -3.071 -4.176
```

Output
Its energy relative to the elements is 0.811 eV/atom. Its space-group type is Cmcm (63).